Record 1
Computed, not measured: an optimized crystal structure of K5CdCl8 at the GGA-PBE level of DFT.

Cell: 8.192 8.192 8.192 Å, 112.10 104.33 112.10°
Element x y z (fractional)
K: 0.009 0.386 0.132
K: 0.868 0.877 0.254
K: 0.746 0.614 0.623
K: 0.500 0.000 0.500
K: 0.377 0.123 0.991
Cd: 0.250 0.500 0.750
Cl: 0.136 0.708 0.969
Cl: 0.031 0.168 0.739
Cl: 0.759 0.244 0.348
Cl: 0.652 0.411 0.896
Cl: 0.485 0.589 0.241
Cl: 0.571 0.832 0.864
Cl: 0.261 0.292 0.429
Cl: 0.104 0.756 0.515

## Properties
* magnetization: 1.23 μB per formula unit
* E above lowest polymorph: 0.0000 eV/atom
* E_form (uncorrected): -1.54 eV per atom

---

Record 2
Computed, not measured: an optimized crystal structure of InPb12Au7 at the GGA-PBE level of DFT.

Cell: 6.074 9.161 10.949 Å, 104.10 109.59 97.81°
Element x y z (fractional)
In: 0.000 0.000 0.000
Pb: 0.207 0.564 0.181
Pb: 0.951 0.184 0.574
Pb: 0.696 0.711 0.075
Pb: 0.463 0.972 0.284
Pb: 0.410 0.314 0.495
Pb: 0.163 0.616 0.685
Pb: 0.837 0.384 0.315
Pb: 0.590 0.686 0.505
Pb: 0.537 0.028 0.716
Pb: 0.304 0.289 0.925
Pb: 0.049 0.816 0.426
Pb: 0.793 0.436 0.819
Au: 0.182 0.724 0.975
Au: 0.958 0.057 0.270
Au: 0.681 0.734 0.796
Au: 0.500 0.000 0.000
Au: 0.319 0.266 0.204
Au: 0.042 0.943 0.730
Au: 0.818 0.276 0.025

## Properties
* magnetization: 0.00 μB per formula unit
* energy of formation from the pure elements: -0.04 eV per atom

---

Record 3
Computed, not measured: an optimized crystal structure of Ag5Os3 at the GGA-PBE level of DFT.

Cell: 8.083 8.084 4.904 Å, 90.00 90.00 120.01°
Element x y z (fractional)
Os: 0.000 0.433 0.750
Os: 0.000 0.567 0.250
Os: 0.433 0.000 0.750
Os: 0.433 0.433 0.250
Os: 0.567 0.000 0.250
Os: 0.567 0.567 0.750
Ag: 0.000 0.215 0.250
Ag: 0.000 0.785 0.750
Ag: 0.215 0.000 0.250
Ag: 0.215 0.215 0.750
Ag: 0.333 0.667 0.000
Ag: 0.333 0.667 0.500
Ag: 0.667 0.333 0.000
Ag: 0.667 0.333 0.500
Ag: 0.785 0.000 0.750
Ag: 0.785 0.785 0.250

## Properties
* magnetization: 0.00 μB per formula unit
* E above lowest polymorph: 0.3403 eV/atom
* energy of formation from the pure elements: 1.01 eV per atom

---

Record 4
Computed, not measured: an optimized crystal structure of Th5ReSn2 at the GGA-PBE level of DFT.

Cell: 4.656 8.214 12.537 Å, 90.00 90.00 90.00°
Element x y z (fractional)
Th: 0.500 0.306 0.063
Th: 0.500 0.694 0.937
Th: 0.500 0.806 0.437
Th: 0.500 0.194 0.563
Th: 0.000 0.861 0.704
Th: 0.000 0.139 0.296
Th: 0.000 0.361 0.796
Th: 0.000 0.639 0.204
Th: 0.000 0.500 0.500
Th: 0.000 0.000 0.000
Re: 0.000 0.000 0.500
Re: 0.000 0.500 0.000
Sn: 0.500 0.419 0.325
Sn: 0.500 0.581 0.675
Sn: 0.500 0.081 0.825
Sn: 0.500 0.919 0.175

## Properties
* magnetization: 0.00 μB per formula unit
* energy of formation from the pure elements: -0.35 eV per atom

---

Record 5
Computed, not measured: an optimized crystal structure of AcCeTmLu at the GGA-PBE level of DFT.

Cell: 5.768 5.768 5.768 Å, 60.00 60.00 60.00°
Element x y z (fractional)
Ac: 0.250 0.250 0.250
Lu: 0.500 0.500 0.500
Tm: 0.000 0.000 0.000
Ce: 0.750 0.750 0.750

## Properties
* magnetization: 0.54 μB per formula unit
* energy of formation from the pure elements: 0.16 eV per atom

---

Record 6
Computed, not measured: an optimized crystal structure of Ti4Al3V at the GGA-PBE level of DFT.

Cell: 4.788 5.822 9.183 Å, 90.00 90.00 90.00°
Element x y z (fractional)
V: 0.000 0.500 0.000
V: 0.000 0.500 0.500
Al: 0.000 0.000 0.000
Al: 0.000 0.000 0.500
Al: 0.637 0.000 0.750
Al: 0.363 0.000 0.250
Al: 0.645 0.500 0.750
Al: 0.355 0.500 0.250
Ti: 0.500 0.743 0.000
Ti: 0.500 0.743 0.500
Ti: 0.500 0.257 0.000
Ti: 0.500 0.257 0.500
Ti: 0.131 0.743 0.750
Ti: 0.869 0.743 0.250
Ti: 0.869 0.257 0.250
Ti: 0.131 0.257 0.750

## Properties
* magnetization: 0.19 μB per formula unit
* E above lowest polymorph: 0.0000 eV/atom
* energy of formation from the pure elements: -0.29 eV per atom

---

Record 7
Computed, not measured: an optimized crystal structure of LaNd3Tm6 at the GGA-PBE level of DFT.

Cell: 6.550 9.698 9.556 Å, 139.83 110.04 90.00°
Element x y z (fractional)
La: 0.500 0.500 0.000
Nd: 0.570 0.942 0.140
Nd: 0.430 0.058 0.860
Nd: 0.000 0.000 0.000
Tm: 0.433 0.559 0.372
Tm: 0.061 0.441 0.628
Tm: 0.567 0.441 0.628
Tm: 0.939 0.559 0.372
Tm: 0.137 0.853 0.274
Tm: 0.863 0.147 0.726

## Properties
* magnetization: 0.00 μB per formula unit
* E above lowest polymorph: 0.1790 eV/atom
* energy of formation from the pure elements: 0.22 eV per atom

---

Record 8
Computed, not measured: an optimized crystal structure of TaTi2Al5Cu2 at the GGA-PBE level of DFT.

Cell: 3.929 8.877 8.877 Å, 90.00 90.00 90.00°
Element x y z (fractional)
Ta: 0.000 0.000 0.000
Ta: 0.000 0.500 0.500
Ti: 0.000 0.664 0.164
Ti: 0.000 0.336 0.836
Ti: 0.000 0.164 0.336
Ti: 0.000 0.836 0.664
Al: 0.500 0.203 0.079
Al: 0.500 0.797 0.921
Al: 0.500 0.079 0.797
Al: 0.500 0.703 0.421
Al: 0.500 0.921 0.203
Al: 0.500 0.297 0.579
Al: 0.500 0.579 0.703
Al: 0.500 0.421 0.297
Al: 0.500 0.500 0.000
Al: 0.500 0.000 0.500
Cu: 0.000 0.131 0.631
Cu: 0.000 0.869 0.369
Cu: 0.000 0.631 0.869
Cu: 0.000 0.369 0.131

## Properties
* magnetization: 0.00 μB per formula unit
* energy of formation from the pure elements: -0.21 eV per atom

---

no.,V (Å³ per cell),DFT total energy (eV per atom)
1,421,-3.05
2,541,-3.55
3,277,-4.98
4,479,-7.55
5,136,-4.60
6,256,-6.78
7,332,-4.38
8,310,-5.67